No. 1
An optimized crystal structure of K2CaZr. Source: Alexandria, functional PBE.

## Properties
Energy relative to the lowest polymorph listed for this composition (meV/atom): 0
Crystal system: orthorhombic
E_form (meV per atom): 517
Total moment (μB per formula unit): 1.0
Mass density (Mg/m³): 2.05

Cell lengths 3.615, 3.615, 12.972 Å; angles 90.00, 90.00, 90.45 degrees
Fractional coordinates of all 4 atoms:
1 K 0.000 0.000 0.000
2 K 0.500 0.500 0.314
3 Ca 0.000 0.000 0.591
4 Zr 0.500 0.500 0.767



No. 2
An optimized crystal structure of KCaZr2. Source: Alexandria, functional PBE.

## Properties
Energy relative to the lowest polymorph listed for this composition (meV/atom): 422
Crystal system: monoclinic
E_form (meV per atom): 755
Total moment (μB per formula unit): 0.5
Mass density (Mg/m³): 3.66

Cell lengths 7.143, 7.143, 3.217 Å; angles 101.74, 101.74, 125.96 degrees
Fractional coordinates of all 4 atoms:
1 K 0.000 0.000 0.000
2 Ca 0.500 0.500 0.000
3 Zr 0.000 0.500 0.500
4 Zr 0.500 0.000 0.500



No. 3
An optimized crystal structure of KCaZr2. Source: Alexandria, functional PBE.

## Properties
Energy relative to the lowest polymorph listed for this composition (meV/atom): 388
Crystal system: tetragonal
E_form (meV per atom): 721
Total moment (μB per formula unit): 0.0
Mass density (Mg/m³): 3.55

Cell lengths 3.158, 3.158, 12.254 Å; angles 90.00, 90.00, 90.00 degrees
Fractional coordinates of all 4 atoms:
1 K 0.000 0.000 0.000
2 Ca 0.000 0.000 0.500
3 Zr 0.500 0.500 0.281
4 Zr 0.500 0.500 0.719



No. 4
An optimized crystal structure of K2CaZr. Source: Alexandria, functional PBE.

## Properties
Energy relative to the lowest polymorph listed for this composition (meV/atom): 205
Crystal system: orthorhombic
E_form (meV per atom): 722
Total moment (μB per formula unit): 3.0
Mass density (Mg/m³): 2.09

Cell lengths 7.992, 7.992, 7.992 Å; angles 153.32, 133.04, 54.83 degrees
Fractional coordinates of all 4 atoms:
1 K 0.235 0.235 0.000
2 K 0.765 0.765 0.000
3 Ca 0.500 0.000 0.500
4 Zr 0.000 0.500 0.500